No. 1
# TiZnNi2

A relaxed structure of TiZnNi2 (PBE, the Alexandria database).

Results
* symmetry: No. 123
* V: 51 Å³/cell
* final energy: -21.87 eV per formula unit
* crystal system: tetragonal
* energy of formation from the pure elements: -6.5 kcal/mol of atoms

Cell lengths 4.217, 4.217, 2.883 Å; angles 90.00, 90.00, 90.00 degrees
Element x y z (fractional)
Ti: 0.000 0.000 0.000
Zn: 0.500 0.500 0.000
Ni: 0.000 0.500 0.500
Ni: 0.500 0.000 0.500

***

No. 2
# TiZn5Ni6

A relaxed structure of TiZn5Ni6 (PBE, the Alexandria database).

Results
* symmetry: No. 10
* V: 148 Å³/cell
* final energy: -52.43 eV per formula unit
* crystal system: monoclinic
* energy of formation from the pure elements: -6.7 kcal/mol of atoms

Cell lengths 4.322, 5.403, 6.365 Å; angles 90.00, 96.58, 90.00 degrees
Element x y z (fractional)
Ti: 0.000 0.000 0.000
Zn: 0.000 0.500 0.000
Zn: 0.343 0.500 0.669
Zn: 0.347 0.000 0.665
Zn: 0.653 0.000 0.335
Zn: 0.657 0.500 0.331
Ni: 0.154 0.252 0.332
Ni: 0.154 0.748 0.332
Ni: 0.500 0.251 0.000
Ni: 0.500 0.749 0.000
Ni: 0.846 0.252 0.668
Ni: 0.846 0.748 0.668

***

No. 3
# TiZn3Ni

A relaxed structure of TiZn3Ni (PBE, the Alexandria database).

Results
* symmetry: No. 221
* V: 86 Å³/cell
* final energy: -15.89 eV per formula unit
* crystal system: cubic
* offset from the most stable computed form: 566 meV per atom
* energy of formation from the pure elements: 7.4 kcal/mol of atoms

Cell lengths 4.415, 4.415, 4.415 Å; angles 90.00, 90.00, 90.00 degrees
Element x y z (fractional)
Ti: 0.000 0.000 0.000
Zn: 0.000 0.500 0.500
Zn: 0.500 0.000 0.500
Zn: 0.500 0.500 0.000
Ni: 0.500 0.500 0.500

***

No. 4
# TiZn2Ni

A relaxed structure of TiZn2Ni (PBE, the Alexandria database).

Results
* symmetry: No. 139
* V: 111 Å³/cell
* final energy: -17.34 eV per formula unit
* crystal system: tetragonal
* energy of formation from the pure elements: -6.5 kcal/mol of atoms

Cell lengths 6.751, 6.751, 6.751 Å; angles 142.91, 142.91, 53.46 degrees
Element x y z (fractional)
Ti: 0.140 0.140 0.000
Ti: 0.860 0.860 0.000
Zn: 0.000 0.500 0.500
Zn: 0.367 0.367 0.000
Zn: 0.500 0.000 0.500
Zn: 0.633 0.633 0.000
Ni: 0.250 0.750 0.500
Ni: 0.750 0.250 0.500

***

No. 5
# Ti8Zn2Ni3

A relaxed structure of Ti8Zn2Ni3 (PBE, the Alexandria database).

Results
* symmetry: No. 12
* V: 209 Å³/cell
* final energy: -82.35 eV per formula unit
* crystal system: monoclinic
* energy of formation from the pure elements: 1.2 kcal/mol of atoms

Cell lengths 6.656, 6.656, 5.293 Å; angles 96.39, 96.39, 64.09 degrees
Element x y z (fractional)
Ti: 0.073 0.714 0.108
Ti: 0.102 0.102 0.403
Ti: 0.286 0.927 0.892
Ti: 0.324 0.324 0.696
Ti: 0.676 0.676 0.304
Ti: 0.714 0.073 0.108
Ti: 0.898 0.898 0.597
Ti: 0.927 0.286 0.892
Zn: 0.299 0.299 0.197
Zn: 0.701 0.701 0.803
Ni: 0.332 0.668 0.500
Ni: 0.500 0.500 0.000
Ni: 0.668 0.332 0.500

***

No. 6
# Ti2ZnNi

A relaxed structure of Ti2ZnNi (PBE, the Alexandria database).

Results
* symmetry: No. 25
* V: 58 Å³/cell
* final energy: -23.97 eV per formula unit
* crystal system: orthorhombic
* energy of formation from the pure elements: -6.5 kcal/mol of atoms

Cell lengths 3.041, 3.057, 6.278 Å; angles 90.00, 90.00, 90.00 degrees
Element x y z (fractional)
Ti: 0.000 0.000 0.000
Ti: 0.500 0.500 0.283
Zn: 0.500 0.500 0.727
Ni: 0.000 0.000 0.506

***

No. 7
# Ti2ZnNi8

A relaxed structure of Ti2ZnNi8 (PBE, the Alexandria database).

Results
* symmetry: No. 12
* V: 131 Å³/cell
* final energy: -66.36 eV per formula unit
* crystal system: monoclinic
* energy of formation from the pure elements: -6.4 kcal/mol of atoms

Cell lengths 6.731, 6.731, 5.825 Å; angles 105.72, 105.72, 31.16 degrees
Element x y z (fractional)
Ti: 0.223 0.223 0.165
Ti: 0.777 0.777 0.835
Zn: 0.500 0.500 0.500
Ni: 0.041 0.041 0.220
Ni: 0.140 0.140 0.686
Ni: 0.323 0.323 0.595
Ni: 0.409 0.409 0.045
Ni: 0.591 0.591 0.955
Ni: 0.677 0.677 0.405
Ni: 0.860 0.860 0.314
Ni: 0.959 0.959 0.780

***

No. 8
# Ti2ZnNi7

A relaxed structure of Ti2ZnNi7 (PBE, the Alexandria database).

Results
* symmetry: No. 65
* V: 136 Å³/cell
* final energy: -55.72 eV per formula unit
* crystal system: orthorhombic
* energy of formation from the pure elements: 4.2 kcal/mol of atoms

Cell lengths 8.153, 8.153, 2.525 Å; angles 90.00, 90.00, 126.11 degrees
Element x y z (fractional)
Ti: 0.179 0.821 0.000
Ti: 0.821 0.179 0.000
Zn: 0.500 0.500 0.500
Ni: 0.000 0.000 0.000
Ni: 0.178 0.363 0.000
Ni: 0.325 0.675 0.500
Ni: 0.363 0.178 0.000
Ni: 0.637 0.822 0.000
Ni: 0.675 0.325 0.500
Ni: 0.822 0.637 0.000